# K2CoHgBr6 (PBE, optimized geometry)
data_K2CoHgBr6
_space_group_name_H-M_alt 'F m -3 m'
_space_group_IT_number 225
_space_group_name_Hall '-F 4 2 3'
_cell_length_a 10.681
_cell_length_b 10.681
_cell_length_c 10.681
_cell_angle_alpha 90.00
_cell_angle_beta 90.00
_cell_angle_gamma 90.00
loop_
_atom_site_label
_atom_site_fract_x
_atom_site_fract_y
_atom_site_fract_z
K1 0.250 0.250 0.250
Co1 0.000 0.000 0.000
Hg1 0.000 0.000 0.500
Br1 0.000 0.000 0.231
# Final energy   -2.773 eV per atom

=====

# Rb2CoHgBr6 (PBE, optimized geometry)
data_Rb2CoHgBr6
_space_group_name_H-M_alt 'F m -3 m'
_space_group_IT_number 225
_space_group_name_Hall '-F 4 2 3'
_cell_length_a 10.840
_cell_length_b 10.840
_cell_length_c 10.840
_cell_angle_alpha 90.00
_cell_angle_beta 90.00
_cell_angle_gamma 90.00
loop_
_atom_site_label
_atom_site_fract_x
_atom_site_fract_y
_atom_site_fract_z
Rb1 0.250 0.250 0.250
Co1 0.000 0.000 0.000
Hg1 0.000 0.000 0.500
Br1 0.000 0.000 0.237
# Final energy   -2.788 eV per atom